[1]
This record from Alexandria via LeMat-Bulk describes a relaxed CsBaGe2N crystal. The functional is GGA-PBEsol.

```
5
Lattice="-3.293 -0.778 -4.527 -0.787 -5.392 1.499 -5.154 1.713 3.456" Properties=species:S:1:pos:R:3 pbc="T T T"
Cs 0.000 0.000 0.000
Ge -0.394 -2.696 0.750
Ge -1.647 -0.389 -2.263
Ba -2.577 0.856 1.728
N -4.617 -2.229 0.214
```

## Properties
Calculated volume, Å³ per atom: 41.1
D(E_F), states/eV/cell: 4.530
Uncorrected energy, eV per atom: -2.282

[2]
This record from Alexandria via LeMat-Bulk describes a relaxed Ta20Pd9S50 crystal. The functional is GGA-PBEsol.

```
79
Lattice="-2.065 6.167 7.821 7.050 -6.547 3.303 8.930 9.279 -8.098" Properties=species:S:1:pos:R:3 pbc="T T T"
Ta 6.607 3.253 4.175
Ta 8.428 0.692 3.276
Ta 3.184 4.712 -0.942
Ta 5.015 2.158 -1.850
Ta 4.769 5.795 5.090
Ta 9.145 3.104 -2.063
Ta 8.899 6.742 4.876
Ta 10.731 4.187 3.969
Ta 5.487 8.207 -0.249
Ta 7.307 5.647 -1.149
Ta 5.403 0.200 4.438
Ta 7.213 -2.354 3.544
Ta 1.988 1.661 -0.665
Ta 1.736 5.286 6.259
Ta 3.571 2.757 5.346
Ta 10.344 6.143 -2.319
Ta 12.178 3.613 -3.232
Ta 11.926 7.238 3.692
Ta 6.701 11.253 -0.517
Ta 8.511 8.700 -1.411
Pd 6.141 -5.279 3.754
Pd -1.156 4.900 7.371
Pd 0.675 2.345 6.463
Pd 2.492 -0.190 5.562
Pd 4.309 -2.724 4.662
Pd 3.312 9.535 3.320
Pd 8.737 1.967 0.631
Pd 5.177 6.933 2.396
Pd 10.603 -0.635 -0.294
S 5.784 0.192 -0.588
S 5.556 3.813 6.331
S 7.374 1.277 5.430
S 2.145 5.268 1.216
S 3.969 2.736 0.306
S 9.946 6.163 2.721
S 11.770 3.631 1.811
S 6.541 7.622 -2.403
S 8.358 5.087 -3.304
S 8.131 8.707 3.615
S 7.070 3.194 -0.590
S 8.880 0.663 -1.397
S 8.658 4.265 5.465
S 3.461 8.222 1.289
S 5.248 5.735 0.313
S 8.666 3.164 2.713
S 10.453 0.678 1.738
S 5.256 4.635 -2.439
S 5.035 8.236 4.424
S 6.844 5.706 3.616
S 5.025 -1.557 2.787
S 6.845 -4.106 1.881
S -0.450 6.069 5.497
S 1.381 3.527 4.593
S 3.211 0.989 3.694
S 10.703 7.910 -0.668
S 12.534 5.373 -1.566
S 14.364 2.831 -2.470
S 7.070 13.006 1.145
S 8.890 10.457 0.240
S 6.214 1.489 2.512
S 8.010 -1.083 1.619
S 7.772 2.540 8.532
S 2.547 6.538 4.327
S 4.402 4.016 3.410
S 9.513 4.883 -0.384
S 11.368 2.362 -1.301
S 6.143 6.360 -5.505
S 5.904 9.982 1.407
S 7.701 7.410 0.515
S 2.760 -0.309 0.580
S 2.523 3.315 7.489
S 4.346 0.779 6.574
S 6.166 -1.767 5.683
S 0.941 2.229 1.482
S 12.974 6.670 1.545
S 7.749 10.667 -2.657
S 9.569 8.120 -3.547
S 11.392 5.585 -4.463
S 11.154 9.208 2.447
```

## Properties
Calculated volume, Å³ per atom: 18.4
D(E_F), states/eV/cell: 24.543
Uncorrected energy, eV per atom: -7.599

| no. | spin magnetization (μB/cell) |
| --- | --- |
| 1 | 2.9 |
| 2 | 0.0 |